(1)
VASP calculation (PBE) on LiY2Zn16 after structural relaxation.

## Properties
E_form in meV/atom: -251

The structure in CIF format:
```
data_LiY2Zn16
_chemical_formula_sum 'Li3 Y6 Zn48'
_cell_length_a 8.9841
_cell_length_b 8.9841
_cell_length_c 13.1487
_cell_angle_alpha 90.00
_cell_angle_beta 90.00
_cell_angle_gamma 120.00
_symmetry_space_group_name_H-M 'R 3 m'
_symmetry_Int_Tables_number 160
_symmetry_space_group_name_Hall 'R 3 -2"'
loop_
_atom_site_label
_atom_site_fract_x
_atom_site_fract_y
_atom_site_fract_z
Li1 0.0000 0.0000 0.0000
Y1 0.0000 0.0000 0.4313
Y2 0.0000 0.0000 0.7567
Zn1 0.0000 0.0000 0.1998
Zn2 0.0001 0.2951 0.0925
Zn3 0.0042 0.5021 0.5926
Zn4 0.0055 0.5027 0.2442
Zn5 0.1725 0.3450 0.2740
```

=====

(2)
VASP calculation (PBE) on Li3YZn after structural relaxation.

## Properties
E_form in meV/atom: 170

The structure in CIF format:
```
data_Li3YZn
_chemical_formula_sum 'Li3 Y1 Zn1'
_cell_length_a 4.7513
_cell_length_b 4.7513
_cell_length_c 4.7513
_cell_angle_alpha 90.00
_cell_angle_beta 90.00
_cell_angle_gamma 90.00
_symmetry_space_group_name_H-M 'P m -3 m'
_symmetry_Int_Tables_number 221
_symmetry_space_group_name_Hall '-P 4 2 3'
loop_
_atom_site_label
_atom_site_fract_x
_atom_site_fract_y
_atom_site_fract_z
Li1 0.0000 0.0000 0.5000
Y1 0.5000 0.5000 0.5000
Zn1 0.0000 0.0000 0.0000
```

=====

(3)
VASP calculation (PBE) on Li2YZn after structural relaxation.

## Properties
E_form in meV/atom: -56

The structure in CIF format:
```
data_Li2YZn
_chemical_formula_sum 'Li8 Y4 Zn4'
_cell_length_a 6.8793
_cell_length_b 6.8793
_cell_length_c 6.8793
_cell_angle_alpha 90.00
_cell_angle_beta 90.00
_cell_angle_gamma 90.00
_symmetry_space_group_name_H-M 'F -4 3 m'
_symmetry_Int_Tables_number 216
_symmetry_space_group_name_Hall 'F -4 2 3'
loop_
_atom_site_label
_atom_site_fract_x
_atom_site_fract_y
_atom_site_fract_z
Li1 0.0000 0.0000 0.0000
Li2 0.2500 0.2500 0.2500
Y1 0.0000 0.0000 0.5000
Zn1 0.2500 0.2500 0.7500
```

=====

Number 1: DOS at the Fermi energy 0.274 states/eV/atom. Number 2: DOS at the Fermi energy 0.740 states/eV/atom. Number 3: DOS at the Fermi energy 1.446 states/eV/atom.